Record 1
A relaxed structure of Na3Cd2Ag3. Source: Alexandria, functional PBE-GGA.

```
Na3Cd2Ag3
1.0
3.129 0.000 0.000
0.000 7.054 -4.073
0.000 0.000 8.146
Cd Na Ag
2 3 3
Direct
0.000 0.333 0.667
0.000 0.667 0.333
0.000 0.000 0.245
0.000 0.755 0.755
0.000 0.245 0.000
0.500 0.601 0.000
0.500 0.000 0.601
0.500 0.399 0.399
```

The energy relative to the elements comes out at -0.0588 eV/atom.

Record 2
A relaxed structure of PmHo2Ge2. Source: Alexandria, functional PBE-GGA.

```
PmHo2Ge2
1.0
4.484 0.000 0.000
0.000 6.281 0.000
-2.242 0.000 9.232
Ho Ge Pm
4 4 2
Direct
0.186 0.530 0.371
0.814 0.030 0.629
0.008 0.263 0.017
0.992 0.763 0.983
0.793 0.554 0.585
0.207 0.054 0.415
0.430 0.017 0.859
0.570 0.517 0.141
0.386 0.502 0.773
0.614 0.002 0.227
```

The energy relative to the elements comes out at -0.6681 eV/atom.

Record 3
A relaxed structure of Cs2TlF. Source: Alexandria, functional PBE-GGA.

```
Cs2TlF
1.0
0.000 4.427 4.427
4.427 0.000 4.427
4.427 4.427 0.000
Cs F Tl
2 1 1
Direct
0.750 0.750 0.750
0.250 0.250 0.250
0.000 0.000 0.000
0.500 0.500 0.500
```

For the uncorrected formation energy, the calculation gives -764.9 meV/atom.

Record 4
A relaxed structure of HoLuAlGa. Source: Alexandria, functional PBE-GGA.

```
HoLuAlGa
1.0
5.019 0.000 0.000
2.509 4.346 0.000
2.509 1.449 4.098
Ho Lu Ga Al
1 1 1 1
Direct
0.000 0.000 0.000
0.500 0.500 0.500
0.750 0.750 0.750
0.250 0.250 0.250
```

The energy relative to the elements comes out at -0.4668 eV/atom.

Record 5
A relaxed structure of KSrSeBr2. Source: Alexandria, functional PBE-GGA.

```
KSrSeBr2
1.0
-0.762 -5.155 2.960
5.684 -1.505 -1.157
1.754 2.684 5.125
Se Sr K Br
1 1 1 2
Direct
0.000 0.000 0.500
0.000 0.000 0.000
0.500 0.500 0.500
0.500 0.000 0.000
0.000 0.500 0.000
```

For the uncorrected formation energy, the calculation gives -1385.0 meV/atom.

Record 6
A relaxed structure of ZrTl2Os. Source: Alexandria, functional PBE-GGA.

```
ZrTl2Os
1.0
3.441 0.000 0.000
0.000 4.957 0.000
0.000 0.000 4.899
Os Tl Zr
1 2 1
Direct
0.000 0.500 0.500
0.500 0.500 0.000
0.000 0.000 0.000
0.500 0.000 0.500
```

The energy relative to the elements comes out at 0.4665 eV/atom.

Record 7
A relaxed structure of SrAl2F7. Source: Alexandria, functional PBE-GGA.

```
SrAl2F7
1.0
3.613 0.000 0.000
0.000 6.759 -0.472
0.000 -3.405 5.858
Al F Sr
2 7 1
Direct
0.500 0.349 0.651
0.500 0.651 0.349
0.500 0.082 0.337
0.500 0.500 0.500
0.500 0.337 0.082
0.500 0.918 0.663
0.500 0.663 0.918
0.000 0.683 0.317
0.000 0.317 0.683
0.000 0.000 0.000
```

For the uncorrected formation energy, the calculation gives -3186.7 meV/atom.

Record 8
A relaxed structure of Na3MoAu. Source: Alexandria, functional PBE-GGA.

```
Na3MoAu
1.0
-2.656 -4.196 2.393
4.614 -1.396 2.674
-1.429 3.291 4.185
Au Mo Na
1 1 3
Direct
0.000 0.000 0.000
0.500 0.500 0.500
0.000 0.000 0.500
0.500 0.000 0.000
0.000 0.500 0.000
```

The energy relative to the elements comes out at 0.8991 eV/atom.

Record 9
A relaxed structure of LiZn2In2Ag5. Source: Alexandria, functional PBE-GGA.

```
LiZn2In2Ag5
1.0
-1.865 -3.269 -1.874
7.653 -1.271 -5.399
3.631 -5.806 6.514
Zn Ag Li In
4 10 2 4
Direct
0.000 0.376 0.124
0.000 0.876 0.376
0.000 0.124 0.624
0.000 0.624 0.876
0.500 0.576 0.697
0.500 0.803 0.924
0.500 0.197 0.076
0.500 0.303 0.576
0.500 0.000 0.500
0.500 0.697 0.424
0.500 0.924 0.197
0.500 0.076 0.803
0.500 0.424 0.303
0.500 0.500 0.000
0.000 0.500 0.500
0.000 0.000 0.000
0.000 0.673 0.173
0.000 0.173 0.327
0.000 0.327 0.827
0.000 0.827 0.673
```

The energy relative to the elements comes out at -0.0339 eV/atom.

Record 10
A relaxed structure of Ti2CrSiH. Source: Alexandria, functional PBE-GGA.

```
Ti2CrSiH
1.0
-0.361 3.789 1.423
-3.935 0.006 -1.016
-0.827 -1.278 3.195
Si H Cr Ti
1 1 1 2
Direct
0.500 0.500 0.500
0.000 0.000 0.000
0.000 0.000 0.500
0.500 0.000 0.000
0.000 0.500 0.000
```

Values of volume, in order: 22.5, 26.0, 43.4, 22.3, 43.4, 20.9, 13.7, 33.5, 18.8, 11.7, all in A^3/atom.
Values of uncorrected energy, in order: -1.85, -5.30, -2.25, -4.43, -3.31, -5.66, -5.41, -2.71, -2.45, -7.24, all in eV per atom.